Material: Li3CrO4
Method: DFT, PBE+U
State: optimized geometry

a b c (Å): 5.3444 5.3444 5.3444
angles (deg): 129.88 129.88 73.60
Last column: nearest neighbours and their distance in Å.
Positions (direct):
1 Li 0.0000 0.0000 0.0000  4 O 2.01
2 Li 0.2500 0.7500 0.5000  4 O 1.99
3 Li 0.7500 0.2500 0.5000  4 O 1.99
4 Cr 0.5000 0.5000 0.0000  4 O 1.73
5 O 0.1628 0.1628 0.5516  1 Cr 1.73
6 O 0.3888 0.8372 0.0000  1 Cr 1.73
7 O 0.6112 0.6112 0.4484  1 Cr 1.73
8 O 0.8372 0.3888 0.0000  1 Cr 1.73

## Properties
ρ in g/cm³: 2.6
Offset from the most stable computed form in eV per atom: 0.014
Space-group type: I-42m, No. 121
Calculated volume in Å³/atom: 10.96
Total moment in μB per cell: 1.00